Below is a relaxed LiSbAu2 crystal, with properties calculated at the GGA-PBEsol level.

Values from the calculation:
density	12092	kg/m³
E_form (uncorrected)	-0.305	eV per atom
Fermi-level density of states	0.368	states/eV per atom
space-group type	No. 139

Unit cell a=4.2276 b=4.2276 c=8.0316 alpha=90.00 beta=90.00 gamma=90.00
Fractional positions:
Li  0.0000  0.0000  0.0000
Li  0.5000  0.5000  0.5000
Sb  0.0000  0.0000  0.5000
Sb  0.5000  0.5000  0.0000
Au  0.0000  0.5000  0.2500
Au  0.0000  0.5000  0.7500
Au  0.5000  0.0000  0.2500
Au  0.5000  0.0000  0.7500